NaGdP4O12: PBEsol geometry, SCAN.

```
data_NaGdP4O12
_cell_length_a 7.1940
_cell_length_b 13.0844
_cell_length_c 12.1034
_cell_angle_alpha 90.00
_cell_angle_beta 125.90
_cell_angle_gamma 90.00
_symmetry_space_group_name_H-M 'P 1 21/c 1'
_symmetry_Int_Tables_number 14
_symmetry_space_group_name_Hall '-P 2ybc'
loop_
_atom_site_label
_atom_site_type_symbol
_atom_site_fract_x
_atom_site_fract_y
_atom_site_fract_z
Na1 Na 0.0636 0.2227 0.0635
Gd1 Gd 0.4644 0.2195 0.9774
P1 P 0.0063 0.6028 0.2565
P2 P 0.1107 0.6155 0.7351
P3 P 0.3438 0.6284 0.1961
P4 P 0.4330 0.0918 0.7012
O1 O 0.0714 0.5130 0.7894
O2 O 0.0933 0.6263 0.1642
O3 O 0.1004 0.1483 0.8993
O4 O 0.1941 0.6106 0.4066
O5 O 0.2048 0.1664 0.2965
O6 O 0.2173 0.6893 0.8510
O7 O 0.2922 0.5812 0.7056
O8 O 0.3275 0.7108 0.1048
O9 O 0.3473 0.1630 0.5836
O10 O 0.3532 0.5209 0.1359
O11 O 0.3642 0.1122 0.7944
O12 O 0.4755 0.1336 0.1534
```

Values from the calculation:
E_form (uncorrected)   -2.698 eV/atom
Fermi-level density of states   0.000 states/eV per atom


ScRePt2: PBEsol geometry, SCAN.

```
data_ScRePt2
_cell_length_a 2.7916
_cell_length_b 4.7053
_cell_length_c 9.7342
_cell_angle_alpha 90.00
_cell_angle_beta 90.00
_cell_angle_gamma 90.00
_symmetry_space_group_name_H-M 'I m m 2'
_symmetry_Int_Tables_number 44
_symmetry_space_group_name_Hall 'I 2 -2'
loop_
_atom_site_label
_atom_site_type_symbol
_atom_site_fract_x
_atom_site_fract_y
_atom_site_fract_z
Sc1 Sc 0.0000 0.0000 0.0000
Re1 Re 0.0000 0.5000 0.2364
Pt1 Pt 0.0000 0.0000 0.5067
Pt2 Pt 0.0000 0.5000 0.7618
```

Values from the calculation:
Energy relative to the elements   -0.3954 eV/atom
Fermi-level density of states   0.744 states/eV per atom


TaFe3: PBEsol geometry, SCAN.

```
data_TaFe3
_cell_length_a 5.7005
_cell_length_b 8.3099
_cell_length_c 4.1520
_cell_angle_alpha 90.00
_cell_angle_beta 90.00
_cell_angle_gamma 90.00
_symmetry_space_group_name_H-M 'C m c m'
_symmetry_Int_Tables_number 63
_symmetry_space_group_name_Hall '-C 2c 2'
loop_
_atom_site_label
_atom_site_type_symbol
_atom_site_fract_x
_atom_site_fract_y
_atom_site_fract_z
Ta1 Ta 0.0000 0.1351 0.2500
Fe1 Fe 0.0000 0.3745 0.7500
Fe2 Fe 0.2444 0.3832 0.2500
```

Values from the calculation:
Energy relative to the elements   -0.0940 eV/atom
Fermi-level density of states   0.479 states/eV per atom


LiCoTc2: PBEsol geometry, SCAN.

```
data_LiCoTc2
_cell_length_a 2.5233
_cell_length_b 3.9706
_cell_length_c 4.9636
_cell_angle_alpha 90.00
_cell_angle_beta 100.68
_cell_angle_gamma 90.00
_symmetry_space_group_name_H-M 'P 1 2/m 1'
_symmetry_Int_Tables_number 10
_symmetry_space_group_name_Hall '-P 2y'
loop_
_atom_site_label
_atom_site_type_symbol
_atom_site_fract_x
_atom_site_fract_y
_atom_site_fract_z
Li1 Li 0.0000 0.0000 0.0000
Co1 Co 0.0000 0.0000 0.5000
Tc1 Tc 0.4923 0.5000 0.2471
```

Values from the calculation:
Energy relative to the elements   0.2254 eV/atom
Fermi-level density of states   0.476 states/eV per atom
ΔE to the lowest computed polymorph   0.0 meV/atom


Ag10Te4Br3: PBEsol geometry, SCAN.

```
data_Ag10Te4Br3
_cell_length_a 15.2405
_cell_length_b 15.3239
_cell_length_c 13.5733
_cell_angle_alpha 90.00
_cell_angle_beta 90.00
_cell_angle_gamma 90.00
_symmetry_space_group_name_H-M 'C m c 21'
_symmetry_Int_Tables_number 36
_symmetry_space_group_name_Hall 'C 2c -2'
loop_
_atom_site_label
_atom_site_type_symbol
_atom_site_fract_x
_atom_site_fract_y
_atom_site_fract_z
Ag1 Ag 0.0000 0.1317 0.0024
Ag2 Ag 0.0000 0.3592 0.0009
Ag3 Ag 0.0918 0.4701 0.5000
Ag4 Ag 0.0962 0.2271 0.3516
Ag5 Ag 0.0963 0.2276 0.6546
Ag6 Ag 0.0970 0.4253 0.1762
Ag7 Ag 0.0976 0.4229 0.8259
Ag8 Ag 0.1044 0.2432 0.1244
Ag9 Ag 0.1055 0.2417 0.8803
Ag10 Ag 0.1450 0.0501 0.8991
Ag11 Ag 0.1452 0.0515 0.1059
Te1 Te 0.0000 0.1143 0.2078
Te2 Te 0.0000 0.1137 0.7969
Te3 Te 0.0000 0.3830 0.3419
Te4 Te 0.0000 0.3837 0.6603
Te5 Te 0.0942 0.1071 0.5031
Te6 Te 0.1820 0.3685 0.0018
Br1 Br 0.2280 0.3615 0.5020
Br2 Br 0.2495 0.2500 0.2521
Br3 Br 0.2500 0.9999 0.2521
```

Values from the calculation:
E_form (uncorrected)   -0.202 eV/atom


RbPdSe3: PBEsol geometry, SCAN.

```
data_RbPdSe3
_cell_length_a 5.0098
_cell_length_b 5.0098
_cell_length_c 5.0098
_cell_angle_alpha 90.00
_cell_angle_beta 90.00
_cell_angle_gamma 90.00
_symmetry_space_group_name_H-M 'P m -3 m'
_symmetry_Int_Tables_number 221
_symmetry_space_group_name_Hall '-P 4 2 3'
loop_
_atom_site_label
_atom_site_type_symbol
_atom_site_fract_x
_atom_site_fract_y
_atom_site_fract_z
Rb1 Rb 0.0000 0.0000 0.0000
Pd1 Pd 0.5000 0.5000 0.5000
Se1 Se 0.0000 0.5000 0.5000
```

Values from the calculation:
E_form (uncorrected)   -0.267 eV/atom
Fermi-level density of states   1.101 states/eV per atom


Number 1: uncorrected energy -12.665 eV/atom. Number 2: uncorrected energy -56.826 eV/atom. Number 3: uncorrected energy -30.337 eV/atom. Number 4: uncorrected energy -22.228 eV/atom. Number 5: uncorrected energy -30.853 eV/atom. Number 6: uncorrected energy -23.017 eV/atom.